8
Lattice="9.137 0.000 0.000 0.000 3.159 0.000 -0.584 0.000 4.699" Properties=species:S:1:pos:R:3 comment="Ta2AlSe SCAN single point on PBEsol structure" sg=C2/m e_above_lowest_polymorph_mev_per_atom=89 e_form_raw_ev_per_atom=0.013 pbc="T T T"
Ta 2.126 0.000 1.152
Ta 1.858 1.579 3.547
Ta 6.695 1.579 1.152
Ta 6.427 0.000 3.547
Al 0.000 1.579 0.000
Al 4.569 0.000 0.000
Se -0.292 0.000 2.350
Se 4.277 1.579 2.350